[1]
This record from the Alexandria database describes crystalline La3TmMg4 at its relaxed geometry. The functional is PBE.

Unit cell a=3.900 b=3.900 c=15.723 alpha=90.00 beta=90.00 gamma=90.00
Fractional positions:
La1 0.000 0.000 0.000
La2 0.000 0.000 0.258
La3 0.000 0.000 0.742
Tm1 0.000 0.000 0.500
Mg1 0.500 0.500 0.129
Mg2 0.500 0.500 0.388
Mg3 0.500 0.500 0.612
Mg4 0.500 0.500 0.871

Summary:
The energy relative to the elements is -0.09 eV/atom. The symmetry is No. 123. The value obtained for the total magnetization is 0.00 μB/cell.

[2]
This record from the Alexandria database describes crystalline La2TmMg at its relaxed geometry. The functional is PBE.

Unit cell a=5.669 b=5.669 c=5.669 alpha=60.00 beta=60.00 gamma=60.00
Fractional positions:
La1 0.250 0.250 0.250
La2 0.750 0.750 0.750
Tm1 0.000 0.000 0.000
Mg1 0.500 0.500 0.500

Summary:
The energy relative to the elements is -0.01 eV/atom. The symmetry is No. 225. The calculation puts the energy above the lowest structure with this stoichiometry at 14 meV/atom. The value obtained for the total magnetization is 0.00 μB/cell.

[3]
This record from the Alexandria database describes crystalline La6TmMg2 at its relaxed geometry. The functional is PBE.

Unit cell a=6.204 b=6.204 c=8.921 alpha=90.00 beta=90.00 gamma=119.19
Fractional positions:
La1 0.175 0.343 0.664
La2 0.177 0.823 0.000
La3 0.343 0.175 0.336
La4 0.657 0.825 0.336
La5 0.823 0.177 0.000
La6 0.825 0.657 0.664
Tm1 0.500 0.500 0.000
Mg1 0.000 0.500 0.330
Mg2 0.500 0.000 0.670

Summary:
The energy relative to the elements is 0.03 eV/atom. The symmetry is No. 21. The value obtained for the total magnetization is 0.00 μB/cell.

The lowest energy relative to the elements belongs to which entry? La3TmMg4